ZnGa4Ni | PBE | relaxed Values from VASP.

```
&SYSTEM
  ibrav = 0, nat = 12, ntyp = 3
/
ATOMIC_SPECIES
Zn 65.41 Zn.upf
Ga 69.72 Ga.upf
Ni 58.69 Ni.upf
ATOMIC_POSITIONS angstrom
Zn 0.000 0.000 0.000
Zn 0.000 0.000 4.958
Ga 4.063 0.955 -1.389
Ga 0.955 2.153 -1.389
Ga 4.063 0.955 1.389
Ga 0.955 2.153 1.389
Ga 2.153 0.955 3.569
Ga -0.955 2.153 3.569
Ga 2.153 0.955 6.348
Ga -0.955 2.153 6.348
Ni 0.000 0.000 2.479
Ni 0.000 0.000 7.437
CELL_PARAMETERS angstrom
-3.108 3.108 4.958
3.108 -3.108 4.958
3.108 3.108 -4.958
```

Values from the calculation:
- Theoretical density: 6.99 g/cm³
- Calculated formation energy: -0.175 eV per atom
- M_tot: 0.0 μB per formula unit
- Relative energy among the computed polymorphs: 0 meV per atom
- Space group: I4/mcm